Record 1
# Ba2Cl, optimized geometry, DFT GGA-PBE
# space group = Cmcm (63)
# magnetic moment = 0.44 μB/f.u.
# raw formation energy = -1.06 eV per atom
# ρ = 3.65 g/cm³
# relative energy among the computed polymorphs = 100 meV per atom
data_Ba2Cl
_chemical_formula_sum 'Ba4 Cl2'
_symmetry_space_group_name_H-M 'P 1'
_symmetry_Int_Tables_number 1
_cell_length_a 15.717
_cell_length_b 15.717
_cell_length_c 4.208
_cell_angle_alpha 90.00
_cell_angle_beta 90.00
_cell_angle_gamma 164.24
loop_
_symmetry_equiv_pos_as_xyz
'x,y,z'
loop_
_atom_site_label
_atom_site_fract_x
_atom_site_fract_y
_atom_site_fract_z
Ba1 0.435 0.565 0.750
Ba2 0.565 0.435 0.250
Ba3 0.805 0.195 0.750
Ba4 0.195 0.805 0.250
Cl1 0.103 0.897 0.750
Cl2 0.897 0.103 0.250

=====

Record 2
# Ba4Cl5, optimized geometry, DFT GGA-PBE
# space group = I4/mmm (139)
# magnetic moment = 0.00 μB/f.u.
# raw formation energy = -1.95 eV per atom
# ρ = 3.76 g/cm³
# relative energy among the computed polymorphs = 0 meV per atom
data_Ba4Cl5
_chemical_formula_sum 'Ba4 Cl5'
_symmetry_space_group_name_H-M 'P 1'
_symmetry_Int_Tables_number 1
_cell_length_a 8.618
_cell_length_b 8.618
_cell_length_c 8.618
_cell_angle_alpha 94.20
_cell_angle_beta 94.20
_cell_angle_gamma 148.59
loop_
_symmetry_equiv_pos_as_xyz
'x,y,z'
loop_
_atom_site_label
_atom_site_fract_x
_atom_site_fract_y
_atom_site_fract_z
Ba1 0.265 0.000 0.265
Ba2 0.735 0.000 0.735
Ba3 0.000 0.735 0.735
Ba4 0.000 0.265 0.265
Cl1 0.000 0.000 0.000
Cl2 0.325 0.675 0.000
Cl3 0.675 0.325 0.000
Cl4 0.675 0.675 0.350
Cl5 0.325 0.325 0.650

=====

Record 3
# BaCl2, optimized geometry, DFT GGA-PBE
# space group = I4/mcm (140)
# magnetic moment = 0.00 μB/f.u.
# raw formation energy = -2.41 eV per atom
# ρ = 3.43 g/cm³
data_BaCl2
_chemical_formula_sum 'Ba2 Cl4'
_symmetry_space_group_name_H-M 'P 1'
_symmetry_Int_Tables_number 1
_cell_length_a 6.421
_cell_length_b 6.421
_cell_length_c 6.421
_cell_angle_alpha 113.08
_cell_angle_beta 113.08
_cell_angle_gamma 102.48
loop_
_symmetry_equiv_pos_as_xyz
'x,y,z'
loop_
_atom_site_label
_atom_site_fract_x
_atom_site_fract_y
_atom_site_fract_z
Ba1 0.750 0.750 0.000
Ba2 0.250 0.250 0.000
Cl1 0.281 0.219 0.500
Cl2 0.719 0.781 0.500
Cl3 0.219 0.719 0.938
Cl4 0.781 0.281 0.062

=====

Record 4
# Ba2Cl, optimized geometry, DFT GGA-PBE
# space group = Pnma (62)
# magnetic moment = 0.29 μB/f.u.
# raw formation energy = -1.09 eV per atom
# ρ = 3.39 g/cm³
# relative energy among the computed polymorphs = 66 meV per atom
data_Ba2Cl
_chemical_formula_sum 'Ba8 Cl4'
_symmetry_space_group_name_H-M 'P 1'
_symmetry_Int_Tables_number 1
_cell_length_a 4.358
_cell_length_b 9.146
_cell_length_c 15.224
_cell_angle_alpha 90.00
_cell_angle_beta 90.00
_cell_angle_gamma 90.00
loop_
_symmetry_equiv_pos_as_xyz
'x,y,z'
loop_
_atom_site_label
_atom_site_fract_x
_atom_site_fract_y
_atom_site_fract_z
Ba1 0.250 0.988 0.758
Ba2 0.750 0.512 0.258
Ba3 0.250 0.488 0.742
Ba4 0.750 0.012 0.242
Ba5 0.250 0.230 0.479
Ba6 0.750 0.270 0.979
Ba7 0.250 0.730 0.021
Ba8 0.750 0.770 0.521
Cl1 0.250 0.565 0.412
Cl2 0.750 0.935 0.912
Cl3 0.250 0.065 0.088
Cl4 0.750 0.435 0.588

=====

Record 5
# BaCl3, optimized geometry, DFT GGA-PBE
# space group = R-3m (166)
# magnetic moment = 1.00 μB/f.u.
# raw formation energy = -1.59 eV per atom
# ρ = 2.30 g/cm³
data_BaCl3
_chemical_formula_sum 'Ba1 Cl3'
_symmetry_space_group_name_H-M 'P 1'
_symmetry_Int_Tables_number 1
_cell_length_a 8.451
_cell_length_b 8.451
_cell_length_c 8.451
_cell_angle_alpha 34.84
_cell_angle_beta 34.84
_cell_angle_gamma 34.84
loop_
_symmetry_equiv_pos_as_xyz
'x,y,z'
loop_
_atom_site_label
_atom_site_fract_x
_atom_site_fract_y
_atom_site_fract_z
Ba1 0.500 0.500 0.500
Cl1 0.000 0.000 0.000
Cl2 0.881 0.881 0.881
Cl3 0.119 0.119 0.119

=====

Record 6
# Ba2Cl, optimized geometry, DFT GGA-PBE
# space group = I4_1/amd (141)
# magnetic moment = 0.32 μB/f.u.
# raw formation energy = -0.94 eV per atom
# ρ = 4.11 g/cm³
# relative energy among the computed polymorphs = 214 meV per atom
data_Ba2Cl
_chemical_formula_sum 'Ba4 Cl2'
_symmetry_space_group_name_H-M 'P 1'
_symmetry_Int_Tables_number 1
_cell_length_a 16.136
_cell_length_b 16.136
_cell_length_c 16.136
_cell_angle_alpha 165.87
_cell_angle_beta 165.87
_cell_angle_gamma 20.03
loop_
_symmetry_equiv_pos_as_xyz
'x,y,z'
loop_
_atom_site_label
_atom_site_fract_x
_atom_site_fract_y
_atom_site_fract_z
Ba1 0.567 0.567 0.000
Ba2 0.183 0.683 0.500
Ba3 0.433 0.433 0.000
Ba4 0.317 0.817 0.500
Cl1 0.000 0.000 0.000
Cl2 0.750 0.250 0.500

=====

Record 7
# BaCl3, optimized geometry, DFT GGA-PBE
# space group = Pm-3n (223)
# magnetic moment = 0.42 μB/f.u.
# raw formation energy = -1.77 eV per atom
# ρ = 3.82 g/cm³
data_BaCl3
_chemical_formula_sum 'Ba2 Cl6'
_symmetry_space_group_name_H-M 'P 1'
_symmetry_Int_Tables_number 1
_cell_length_a 5.961
_cell_length_b 5.961
_cell_length_c 5.961
_cell_angle_alpha 90.00
_cell_angle_beta 90.00
_cell_angle_gamma 90.00
loop_
_symmetry_equiv_pos_as_xyz
'x,y,z'
loop_
_atom_site_label
_atom_site_fract_x
_atom_site_fract_y
_atom_site_fract_z
Ba1 0.000 0.000 0.000
Ba2 0.500 0.500 0.500
Cl1 0.750 0.500 0.000
Cl2 0.250 0.500 0.000
Cl3 0.000 0.750 0.500
Cl4 0.000 0.250 0.500
Cl5 0.500 0.000 0.250
Cl6 0.500 0.000 0.750

=====

Record 8
# Ba2Cl, optimized geometry, DFT GGA-PBE
# space group = Pa-3 (205)
# magnetic moment = 1.15 μB/f.u.
# raw formation energy = -1.04 eV per atom
# ρ = 3.80 g/cm³
# relative energy among the computed polymorphs = 118 meV per atom
data_Ba2Cl
_chemical_formula_sum 'Ba8 Cl4'
_symmetry_space_group_name_H-M 'P 1'
_symmetry_Int_Tables_number 1
_cell_length_a 8.155
_cell_length_b 8.155
_cell_length_c 8.155
_cell_angle_alpha 90.00
_cell_angle_beta 90.00
_cell_angle_gamma 90.00
loop_
_symmetry_equiv_pos_as_xyz
'x,y,z'
loop_
_atom_site_label
_atom_site_fract_x
_atom_site_fract_y
_atom_site_fract_z
Ba1 0.650 0.650 0.350
Ba2 0.350 0.350 0.650
Ba3 0.150 0.850 0.650
Ba4 0.850 0.150 0.350
Ba5 0.350 0.150 0.150
Ba6 0.650 0.850 0.850
Ba7 0.850 0.350 0.850
Ba8 0.150 0.650 0.150
Cl1 0.000 0.000 0.000
Cl2 0.500 0.500 0.000
Cl3 0.500 0.000 0.500
Cl4 0.000 0.500 0.500